Computed, not measured: RbMn2Bi2 after structural relaxation at the PBE level of DFT.

a b c (Å): 9.3024 9.3024 3.4411
angles (deg): 90.00 90.00 90.00
Last column: magnetic moment on the atom in μB.
Fractional positions:
Mn  0.5738  0.9262  0.5000  1.59
Mn  0.9262  0.4262  0.5000  1.59
Mn  0.4262  0.0738  0.5000  1.59
Mn  0.0738  0.5738  0.5000  1.59
Bi  0.3439  0.8439  0.0000  -0.13
Bi  0.6561  0.1561  0.0000  -0.13
Bi  0.1561  0.3439  0.0000  -0.13
Bi  0.8439  0.6561  0.0000  -0.13
Rb  0.5000  0.5000  0.0000  -0.01
Rb  0.0000  0.0000  0.0000  -0.01

Summary:
**ρ**: 6.8 g/cm³
**Raw total energy**: -4.8457 eV per atom
**Formation energy from the elements**: 568 meV/atom
**Size of the total moment**: 3.16 μB per formula unit